[1]
4
Lattice="-0.410 2.511 -4.671 -0.397 -2.805 -4.502 -4.179 -0.097 -2.714" Properties=species:S:1:pos:R:3 comment="PaReBi2 (PBE-GGA, optimized geometry)" m_tot_mub_per_atom=0.002 formation_enthalpy_0k_mev_per_atom=615 dos_at_fermi_per_ev_atom=1.569 pbc="T T T"
Re 0.000 0.000 0.000
Pa -2.493 -0.196 -5.943
Bi -1.346 -0.098 -2.963
Bi -3.640 -0.293 -8.924

[2]
20
Lattice="6.194 0.062 0.087 -1.432 6.027 0.087 -1.432 -1.831 5.743" Properties=species:S:1:pos:R:3 comment="ThMg3B4O12 (PBE-GGA, optimized geometry)" formation_energy_uncorrected_ev_per_atom=-2.548 m_tot_mub_per_atom=0.076 dos_at_fermi_per_ev_atom=0.523 pbc="T T T"
Th 0.000 0.000 0.000
Mg 2.827 2.696 0.087
Mg 1.935 -0.995 3.245
Mg -1.432 2.557 2.584
B 5.047 -0.515 2.958
B -1.716 1.290 5.466
B 1.665 5.613 0.450
B 1.665 2.129 2.958
O 1.665 1.022 3.755
O 4.835 2.916 0.608
O -1.504 4.608 2.958
O 1.665 -1.136 5.309
O 0.568 5.428 1.277
O -0.634 0.428 5.553
O 5.131 0.621 2.168
O 2.763 4.771 0.364
O -1.801 2.400 4.640
O 3.965 -0.871 3.748
O 2.740 2.396 2.161
O 0.590 2.970 2.958